Here is a geometry-optimized CdHPd2Au structure from the Alexandria database. Energies are from PBE-GGA.

Total magnetic moment, μB/cell: 0.00
V, Å³ per cell: 70.4
SG: No. 123
ΔE to the lowest computed polymorph, meV/atom: 0

```
data_CdHPd2Au
_symmetry_space_group_name_H-M 'P 1'
_symmetry_Int_Tables_number 1
_symmetry_space_group_name_Hall 'P 1'
_cell_length_a 4.159
_cell_length_b 4.159
_cell_length_c 4.073
_cell_angle_alpha 90.00
_cell_angle_beta 90.00
_cell_angle_gamma 90.00
loop_
_atom_site_label
_atom_site_fract_x
_atom_site_fract_y
_atom_site_fract_z
Cd1 0.000 0.000 0.000
H1 0.500 0.500 0.500
Pd1 0.000 0.500 0.500
Pd2 0.500 0.000 0.500
Au1 0.500 0.500 0.000
```